(1)
{
  "formula": "Li4Sn2Bi",
  "functional": "PBE-GGA",
  "state": "relaxed",
  "lattice_angstrom": [[3.426, 0.000, 0.000], [0.000, 4.931, 0.000], [0.000, -2.465, 9.311]],
  "species": ["Bi", "Sn", "Sn", "Li", "Li", "Li", "Li"],
  "frac_coords": [[0.000, 0.500, 0.000], [0.500, 0.206, 0.412], [0.500, 0.794, 0.588], [0.000, 0.079, 0.157], [0.500, 0.373, 0.746], [0.000, 0.921, 0.843], [0.500, 0.627, 0.254]],
  "relative_energy_mev_per_atom": 18,
  "e_form_ev_per_atom": -0.323,
  "total_energy_ev_per_atom": -3.1147
}

(2)
{
  "formula": "CsGe4O7",
  "functional": "PBE-GGA",
  "state": "relaxed",
  "lattice_angstrom": [[-3.120, -4.002, 4.055], [-1.594, -3.027, -4.215], [10.338, -6.959, 1.087]],
  "species": ["O", "O", "O", "O", "O", "O", "O", "O", "O", "O", "O", "O", "O", "O", "Ge", "Ge", "Ge", "Ge", "Ge", "Ge", "Ge", "Ge", "Cs", "Cs"],
  "frac_coords": [[0.990, 0.580, 0.650], [0.868, 0.713, 0.872], [0.003, 0.184, 0.500], [0.490, 0.420, 0.150], [0.489, 0.921, 0.226], [0.989, 0.079, 0.274], [0.490, 0.420, 0.850], [0.503, 0.816, 0.000], [0.368, 0.287, 0.372], [0.868, 0.713, 0.128], [0.489, 0.921, 0.774], [0.368, 0.287, 0.628], [0.989, 0.079, 0.726], [0.990, 0.580, 0.350], [0.095, 0.281, 0.628], [0.595, 0.719, 0.128], [0.095, 0.281, 0.372], [0.074, 0.765, 0.230], [0.074, 0.765, 0.770], [0.595, 0.719, 0.872], [0.574, 0.235, 0.270], [0.574, 0.235, 0.730], [0.120, 0.250, 0.000], [0.620, 0.750, 0.500]],
  "total_energy_ev_per_atom": -6.0042,
  "formation_energy_uncorrected_ev_per_atom": -1.50
}

(3)
{
  "formula": "VCu2Sb2",
  "functional": "PBE-GGA",
  "state": "relaxed",
  "lattice_angstrom": [[-4.585, -0.683, -5.298], [-4.467, -3.339, 4.296], [-1.516, 3.186, 0.901]],
  "species": ["Cu", "Cu", "Cu", "Cu", "Sb", "Sb", "Sb", "Sb", "V", "V"],
  "frac_coords": [[0.377, 0.877, 0.000], [0.123, 0.377, 0.000], [0.877, 0.623, 0.000], [0.623, 0.123, 0.000], [0.680, 0.820, 0.500], [0.180, 0.680, 0.500], [0.820, 0.320, 0.500], [0.320, 0.180, 0.500], [0.000, 0.000, 0.000], [0.500, 0.500, 0.000]],
  "relative_energy_mev_per_atom": 0,
  "total_energy_ev_per_atom": -4.8653,
  "formation_energy_uncorrected_ev_per_atom": 0.25
}

(4)
{
  "formula": "Ce3Zn8Au3",
  "functional": "PBE-GGA",
  "state": "relaxed",
  "lattice_angstrom": [[4.341, 0.000, 1.145], [1.422, 7.387, 3.410], [0.101, -0.125, 8.417]],
  "species": ["Ce", "Ce", "Ce", "Au", "Au", "Au", "Zn", "Zn", "Zn", "Zn", "Zn", "Zn", "Zn", "Zn"],
  "frac_coords": [[0.292, 0.714, 0.702], [0.000, 0.000, 0.000], [0.708, 0.286, 0.298], [0.654, 0.709, 0.984], [0.346, 0.291, 0.016], [0.000, 0.500, 0.500], [0.498, 0.683, 0.321], [0.860, 0.432, 0.849], [0.502, 0.317, 0.679], [0.339, 0.013, 0.310], [0.861, 0.856, 0.421], [0.140, 0.568, 0.151], [0.661, 0.987, 0.690], [0.139, 0.144, 0.579]],
  "relative_energy_mev_per_atom": 0,
  "e_form_ev_per_atom": -0.419,
  "total_energy_ev_per_atom": -3.1204
}